P | The following is a PBE calculation of crystalline Sr2BeHg at its relaxed geometry, from Alexandria via LeMat-Bulk.

DOS(E_F) (states/eV/f.u.): 1.933
Symmetry: P4mm, No. 99

```
4
Lattice="3.798 0.000 0.000 0.000 3.798 0.000 0.000 0.000 8.670" Properties=species:S:1:pos:R:3 pbc="T T T"
Sr 0.000 0.000 0.000
Sr 1.899 1.899 3.496
Be 0.000 0.000 5.440
Hg 1.899 1.899 6.665
```

---

Q | The following is a PBE calculation of crystalline Sr2BeHg at its relaxed geometry, from Alexandria via LeMat-Bulk.

DOS(E_F) (states/eV/f.u.): 3.066
Symmetry: R3m, No. 160

```
4
Lattice="2.259 1.304 7.806 -2.259 1.304 7.806 0.000 -2.609 7.806" Properties=species:S:1:pos:R:3 pbc="T T T"
Sr 0.000 0.000 0.000
Sr 0.000 0.000 4.011
Be 0.000 0.000 9.810
Hg 0.000 0.000 17.614
```

---

Stability verdict: Q, ahead by 0.202 eV/atom

---

P | The following is a PBE calculation of crystalline Sr2BeHg at its relaxed geometry, from Alexandria via LeMat-Bulk.

DOS(E_F) (states/eV/f.u.): 0.641
Symmetry: F-43m, No. 216

```
4
Lattice="0.000 3.727 3.727 3.727 0.000 3.727 3.727 3.727 0.000" Properties=species:S:1:pos:R:3 pbc="T T T"
Sr 0.000 0.000 0.000
Sr 1.864 1.864 1.864
Be 3.727 3.727 3.727
Hg 5.591 5.591 5.591
```

---

Q | The following is a PBE calculation of crystalline Sr2BeHg at its relaxed geometry, from Alexandria via LeMat-Bulk.

DOS(E_F) (states/eV/f.u.): 2.471
Symmetry: P2/m, No. 10

```
4
Lattice="3.872 0.000 0.000 0.000 3.856 0.000 -0.009 0.000 7.894" Properties=species:S:1:pos:R:3 pbc="T T T"
Sr 3.868 0.000 1.855
Sr -0.006 0.000 6.039
Be 1.936 1.928 0.000
Hg 1.931 1.928 3.947
```

---

Stability verdict: Q, ahead by 0.204 eV/atom

---

P | The following is a PBE calculation of crystalline Sr2BeHg at its relaxed geometry, from Alexandria via LeMat-Bulk.

DOS(E_F) (states/eV/f.u.): 3.178
Symmetry: I-4m2, No. 119

```
4
Lattice="-2.352 2.352 5.520 2.352 -2.352 5.520 2.352 2.352 -5.520" Properties=species:S:1:pos:R:3 pbc="T T T"
Sr 0.000 0.000 0.000
Sr 0.000 2.352 2.760
Be 2.352 0.000 2.760
Hg 0.000 0.000 5.520
```

---

Q | The following is a PBE calculation of crystalline Sr2BeHg at its relaxed geometry, from Alexandria via LeMat-Bulk.

DOS(E_F) (states/eV/f.u.): 3.004
Symmetry: C2/m, No. 12

```
4
Lattice="3.942 -2.279 0.000 3.942 2.279 0.000 -2.637 0.000 7.819" Properties=species:S:1:pos:R:3 pbc="T T T"
Sr 1.311 0.000 1.760
Sr 3.934 0.000 6.058
Be 3.942 0.000 0.000
Hg -1.319 0.000 3.909
```

---

R | The following is a PBE calculation of crystalline Sr2BeHg at its relaxed geometry, from Alexandria via LeMat-Bulk.

DOS(E_F) (states/eV/f.u.): 2.224
Symmetry: P4mm, No. 99

```
4
Lattice="4.351 0.000 0.000 0.000 4.351 0.000 0.000 0.000 6.964" Properties=species:S:1:pos:R:3 pbc="T T T"
Sr 0.000 0.000 0.000
Sr 2.175 2.175 2.756
Be 0.000 0.000 3.768
Hg 2.175 2.175 5.899
```

---

S | The following is a PBE calculation of crystalline Sr2BeHg at its relaxed geometry, from Alexandria via LeMat-Bulk.

DOS(E_F) (states/eV/f.u.): 3.080
Symmetry: I-42d, No. 122

```
8
Lattice="-4.270 4.270 3.879 4.270 -4.270 3.879 4.270 4.270 -3.879" Properties=species:S:1:pos:R:3 pbc="T T T"
Sr 6.405 1.942 -0.970
Sr 1.942 2.135 0.970
Sr -2.135 2.328 2.910
Sr 2.328 2.135 4.849
Be 0.000 0.000 0.000
Be 0.000 4.270 1.940
Hg 4.270 0.000 1.940
Hg 0.000 0.000 3.879
```

---

Stability verdict: Q, ahead by 0.025 eV/atom

---

P | The following is a PBE calculation of crystalline SrBeHg3 at its relaxed geometry, from Alexandria via LeMat-Bulk.

DOS(E_F) (states/eV/f.u.): 2.060
Symmetry: Pm-3m, No. 221

```
5
Lattice="4.955 0.000 0.000 0.000 4.955 0.000 0.000 0.000 4.955" Properties=species:S:1:pos:R:3 pbc="T T T"
Sr 0.000 0.000 0.000
Be 2.477 2.477 2.477
Hg 0.000 2.477 2.477
Hg 2.477 0.000 2.477
Hg 2.477 2.477 0.000
```

---

Q | The following is a PBE calculation of crystalline SrBeHg3 at its relaxed geometry, from Alexandria via LeMat-Bulk.

DOS(E_F) (states/eV/f.u.): 4.502
Symmetry: Pm-3m, No. 221

```
5
Lattice="6.514 0.000 0.000 0.000 6.514 0.000 0.000 0.000 6.514" Properties=species:S:1:pos:R:3 pbc="T T T"
Sr 0.000 0.000 0.000
Be 3.257 3.257 3.257
Hg 0.000 0.000 3.257
Hg 0.000 3.257 0.000
Hg 3.257 0.000 0.000
```

---

Stability verdict: P, ahead by 0.963 eV/atom

---

P | The following is a PBE calculation of crystalline Ta2BeHg at its relaxed geometry, from Alexandria via LeMat-Bulk.

DOS(E_F) (states/eV/f.u.): 2.984
Symmetry: C2/m, No. 12

```
4
Lattice="2.868 -1.653 0.000 2.868 1.653 0.000 -1.901 0.000 7.286" Properties=species:S:1:pos:R:3 pbc="T T T"
Ta 0.957 0.000 1.296
Ta 2.877 0.000 5.990
Be 2.868 0.000 0.000
Hg -0.951 0.000 3.643
```

---

Q | The following is a PBE calculation of crystalline Ta2BeHg at its relaxed geometry, from Alexandria via LeMat-Bulk.

DOS(E_F) (states/eV/f.u.): 3.701
Symmetry: I-42d, No. 122

```
8
Lattice="-1.910 1.910 10.051 1.910 -1.910 10.051 1.910 1.910 -10.051" Properties=species:S:1:pos:R:3 pbc="T T T"
Ta 2.866 0.928 -2.513
Ta 0.928 0.955 2.513
Ta -0.955 0.982 7.538
Ta 0.982 0.955 12.563
Be 0.000 0.000 0.000
Be 0.000 1.910 5.025
Hg 1.910 0.000 5.025
Hg 0.000 0.000 10.051
```

---

R | The following is a PBE calculation of crystalline Ta2BeHg at its relaxed geometry, from Alexandria via LeMat-Bulk.

DOS(E_F) (states/eV/f.u.): 2.887
Symmetry: P4mm, No. 99

```
4
Lattice="3.405 0.000 0.000 0.000 3.405 0.000 0.000 0.000 6.027" Properties=species:S:1:pos:R:3 pbc="T T T"
Ta 0.000 0.000 0.000
Ta 1.702 1.702 1.314
Be 0.000 0.000 2.558
Hg 1.702 1.702 4.139
```

---

S | The following is a PBE calculation of crystalline Ta2BeHg at its relaxed geometry, from Alexandria via LeMat-Bulk.

DOS(E_F) (states/eV/f.u.): 2.639
Symmetry: P4/mmm, No. 123

```
4
Lattice="3.949 0.000 0.000 0.000 3.949 0.000 0.000 0.000 4.290" Properties=species:S:1:pos:R:3 pbc="T T T"
Ta 0.000 1.974 0.000
Ta 1.974 0.000 0.000
Be 0.000 0.000 2.145
Hg 1.974 1.974 2.145
```

---

Stability verdict: S, ahead by 0.023 eV/atom

---

P | The following is a PBE calculation of crystalline Ta2Be2Hg at its relaxed geometry, from Alexandria via LeMat-Bulk.

DOS(E_F) (states/eV/f.u.): 2.885
Symmetry: P4/mbm, No. 127

```
10
Lattice="6.182 0.000 0.000 0.000 6.182 0.000 0.000 0.000 3.746" Properties=species:S:1:pos:R:3 pbc="T T T"
Ta 1.015 2.076 0.000
Ta 2.076 5.168 0.000
Ta 4.106 1.015 0.000
Ta 5.168 4.106 0.000
Be 0.739 3.831 1.873
Be 2.352 0.739 1.873
Be 3.831 5.443 1.873
Be 5.443 2.352 1.873
Hg 0.000 0.000 1.873
Hg 3.091 3.091 1.873
```

---

Q | The following is a PBE calculation of crystalline Ta2Be2Hg at its relaxed geometry, from Alexandria via LeMat-Bulk.

DOS(E_F) (states/eV/f.u.): 2.228
Symmetry: P4/mmm, No. 123

```
5
Lattice="4.238 0.000 0.000 0.000 4.238 0.000 0.000 0.000 5.197" Properties=species:S:1:pos:R:3 pbc="T T T"
Ta 0.000 0.000 0.000
Ta 2.119 2.119 0.000
Be 0.000 2.119 2.598
Be 2.119 0.000 2.598
Hg 0.000 0.000 2.598
```

---

Stability verdict: P, ahead by 1.333 eV/atom